(1)
A relaxed Na3Si2P4 crystal, computed with PBE.

```
Na3Si2P4
1.0
6.5068 -4.8710 0.0000
6.5068 4.8710 0.0000
-0.0965 0.0000 6.1406
Na Si P
6 4 8
Cartesian
6.4345 3.9089 4.6054 Na
5.0610 1.2919 0.0814 Na
7.9045 1.2919 2.9889 Na
5.0127 -1.2919 3.1517 Na
7.8562 -1.2919 6.0592 Na
6.4827 -3.9089 1.5351 Na
2.6938 1.1519 3.5435 Si
2.7420 -1.1519 0.4732 Si
10.1752 1.1519 5.6674 Si
10.2234 -1.1519 2.5971 Si
2.0439 0.8145 5.7035 P
4.8193 1.7929 3.1202 P
2.0921 -0.8145 2.6332 P
8.0496 1.7929 6.0906 P
4.8675 -1.7929 0.0500 P
10.8251 0.8145 3.5073 P
8.0979 -1.7929 3.0203 P
10.8733 -0.8145 0.4370 P
```

Calculated values
DOS at the Fermi energy, states/eV per cell: 14.593
Space group: No. 15

=====

(2)
A relaxed NaSiP2 crystal, computed with PBE.

```
NaSiP2
1.0
6.2974 0.0000 0.0000
0.0000 9.5473 0.0000
0.0000 0.0000 5.9130
Na Si P
4 4 8
Cartesian
0.4153 1.2429 0.0000 Na
2.7334 6.0165 2.9565 Na
3.5639 3.5308 0.0000 Na
5.8821 8.3044 2.9565 Na
0.0817 3.5435 2.9089 Si
3.0669 8.3171 5.8654 Si
3.2304 1.2302 2.9089 Si
6.2156 6.0038 5.8654 Si
0.6413 4.0343 0.7627 P
0.8836 7.9923 0.3170 P
2.2650 3.2186 3.2735 P
2.5074 8.8079 3.7192 P
3.7900 0.7394 0.7627 P
4.0323 6.3287 0.3170 P
5.4137 1.5550 3.2735 P
5.6560 5.5131 3.7192 P
```

Calculated values
DOS at the Fermi energy, states/eV per cell: 8.111
Space group: No. 33

=====

(3)
A relaxed NaSi3P crystal, computed with PBE.

```
NaSi3P
1.0
4.8869 0.0000 0.0000
0.0000 4.8869 0.0000
0.0000 0.0000 4.8869
Na Si P
1 3 1
Cartesian
0.0000 0.0000 0.0000 Na
0.0000 0.0000 2.4434 Si
0.0000 2.4434 0.0000 Si
2.4434 0.0000 0.0000 Si
2.4434 2.4434 2.4434 P
```

Calculated values
DOS at the Fermi energy, states/eV per cell: 2.694
Space group: No. 221

=====

(4)
A relaxed Na2SiP2 crystal, computed with PBE.

```
Na2SiP2
1.0
6.5414 0.0000 0.0000
0.0000 6.5414 0.0000
0.0000 0.0000 4.5603
Na Si P
4 2 4
Cartesian
1.1869 2.0838 0.0000 Na
2.0838 5.3545 0.0000 Na
4.4576 1.1869 0.0000 Na
5.3545 4.4576 0.0000 Na
0.0000 0.0000 2.2802 Si
3.2707 3.2707 2.2802 Si
0.7862 4.0569 2.2802 P
2.4845 0.7862 2.2802 P
4.0569 5.7552 2.2802 P
5.7552 2.4845 2.2802 P
```

Calculated values
DOS at the Fermi energy, states/eV per cell: 2.825
Space group: No. 127

=====

(5)
A relaxed Na3Si2P4 crystal, computed with PBE.

```
Na3Si2P4
1.0
7.1682 -1.7642 0.0000
7.1682 1.7642 0.0000
-6.4311 0.0000 8.1351
Na Si P
3 2 4
Cartesian
0.0000 0.0000 0.0000 Na
4.2287 0.0000 1.7366 Na
3.6766 0.0000 6.3985 Na
-0.0068 0.0000 5.2936 Si
7.9120 0.0000 2.8415 Si
-0.7404 0.0000 3.0798 P
-1.3201 0.0000 7.0137 P
9.2254 0.0000 1.1214 P
8.6456 0.0000 5.0552 P
```

Calculated values
DOS at the Fermi energy, states/eV per cell: 2.246
Space group: No. 12

=====

(6)
A relaxed NaSi2P2 crystal, computed with PBE.

```
NaSi2P2
1.0
7.2668 0.0000 0.0000
0.0000 7.2668 0.0000
0.0000 0.0000 3.2524
Na Si P
2 4 4
Cartesian
0.0000 0.0000 0.0000 Na
3.6334 3.6334 0.0000 Na
0.8854 2.7480 0.0000 Si
2.7480 6.3814 0.0000 Si
4.5188 0.8854 0.0000 Si
6.3814 4.5188 0.0000 Si
1.1089 4.7423 1.6262 P
2.5245 1.1089 1.6262 P
4.7423 6.1580 1.6262 P
6.1580 2.5245 1.6262 P
```

Calculated values
DOS at the Fermi energy, states/eV per cell: 1.758
Space group: No. 127

=====

(7)
A relaxed Na3SiP crystal, computed with PBE.

```
Na3SiP
1.0
5.3940 0.0000 0.0000
0.0000 5.3940 0.0000
0.0000 0.0000 5.3940
Na Si P
3 1 1
Cartesian
0.0000 0.0000 2.6970 Na
0.0000 2.6970 0.0000 Na
2.6970 0.0000 0.0000 Na
2.6970 2.6970 2.6970 Si
0.0000 0.0000 0.0000 P
```

Calculated values
DOS at the Fermi energy, states/eV per cell: 4.588
Space group: No. 221

=====

(8)
A relaxed NaSiP2 crystal, computed with PBE.

```
NaSiP2
1.0
-3.3836 3.3836 3.6180
3.3836 -3.3836 3.6180
3.3836 3.3836 -3.6180
Na Si P
2 2 4
Cartesian
0.0000 0.0000 0.0000 Na
0.0000 3.3836 1.8090 Na
3.3836 0.0000 1.8090 Si
0.0000 0.0000 3.6180 Si
1.6918 2.1881 -0.9045 P
4.5790 1.6918 0.9045 P
1.6918 1.1954 2.7135 P
-1.1954 1.6918 4.5225 P
```

Calculated values
DOS at the Fermi energy, states/eV per cell: 6.163
Space group: No. 122

=====

(9)
A relaxed NaSi2P2 crystal, computed with PBE.

```
NaSi2P2
1.0
-2.2324 2.2324 5.3733
2.2324 -2.2324 5.3733
2.2324 2.2324 -5.3733
Na Si P
1 2 2
Cartesian
0.0000 0.0000 0.0000 Na
2.2324 0.0000 2.6866 Si
0.0000 2.2324 2.6866 Si
0.0000 0.0000 3.5433 P
0.0000 0.0000 7.2032 P
```

Calculated values
DOS at the Fermi energy, states/eV per cell: 1.564
Space group: No. 139

=====

(10)
A relaxed Na2Si2P crystal, computed with PBE.

```
Na2Si2P
1.0
6.4815 0.0000 0.0000
0.0000 6.4815 0.0000
0.0000 0.0000 4.8207
Na Si P
4 4 2
Cartesian
1.1530 2.0877 0.0000 Na
2.0877 5.3285 0.0000 Na
4.3937 1.1530 0.0000 Na
5.3285 4.3937 0.0000 Na
0.8226 4.0633 2.4103 Si
2.4182 0.8226 2.4103 Si
4.0633 5.6589 2.4103 Si
5.6589 2.4182 2.4103 Si
0.0000 0.0000 2.4103 P
3.2407 3.2407 2.4103 P
```

Calculated values
DOS at the Fermi energy, states/eV per cell: 5.409
Space group: No. 127

=====

(11)
A relaxed NaSrSiP2 crystal, computed with PBE.

```
NaSrSiP2
1.0
3.0061 -6.1227 0.0000
3.0061 6.1227 0.0000
0.0000 0.0000 5.9586
Na Sr Si P
2 2 2 4
Cartesian
1.5030 0.0000 0.0000 Na
4.5091 0.0000 0.0000 Na
3.0061 3.0614 4.4336 Sr
3.0061 -3.0614 1.5250 Sr
0.0000 0.0000 2.9793 Si
3.0061 0.0000 2.9793 Si
3.0061 4.1865 1.5349 P
3.0061 1.9362 1.5349 P
3.0061 -1.9362 4.4237 P
3.0061 -4.1865 4.4237 P
```

Calculated values
DOS at the Fermi energy, states/eV per cell: 4.637
Space group: No. 67

=====

(12)
A relaxed Na4Sr2SiP4 crystal, computed with PBE.

```
Na4Sr2SiP4
1.0
4.6558 -8.0617 0.0000
4.6558 8.0617 0.0000
-0.1143 0.0000 7.3004
Na Sr Si P
8 4 2 8
Cartesian
4.5987 6.9123 3.6502 Na
5.4353 4.2622 1.4793 Na
5.4393 1.2419 0.2785 Na
7.3974 2.3514 3.8396 Na
5.3821 -1.2419 3.9287 Na
5.3781 -4.2622 5.1295 Na
4.6558 -6.9123 0.0000 Na
7.4545 -2.3514 0.1895 Na
2.6122 0.4260 5.0841 Sr
4.6070 3.8553 5.1044 Sr
2.6693 -0.4260 1.4339 Sr
4.6641 -3.8553 1.4542 Sr
2.7464 2.6944 2.2824 Si
2.6892 -2.6944 5.9326 Si
2.6213 2.6178 7.2672 P
5.3765 6.4740 6.5873 P
4.6039 1.5606 3.0549 P
2.6784 -2.6178 3.6170 P
7.2574 3.1976 6.6427 P
4.5468 -1.5606 6.7051 P
7.3145 -3.1976 2.9925 P
5.4336 -6.4740 2.9371 P
```

Calculated values
Space group: No. 9

=====

| no. | formation energy without anion corrections (eV/atom) | total magnetic moment (μB per atom) | raw total energy (eV per atom) |
| --- | --- | --- | --- |
| 1 | -0.299 | 0.000 | -4.348 |
| 2 | -0.086 | 0.000 | -4.477 |
| 3 | 1.770 | 0.000 | -2.830 |
| 4 | -0.089 | 0.000 | -3.865 |
| 5 | -0.270 | 0.000 | -4.319 |
| 6 | 0.269 | 0.000 | -4.328 |
| 7 | 0.443 | 0.399 | -2.515 |
| 8 | -0.093 | 0.000 | -4.483 |
| 9 | 0.091 | 0.000 | -4.506 |
| 10 | 0.140 | 0.000 | -3.639 |
| 11 | -0.332 | 0.000 | -4.181 |
| 12 | -0.665 | 0.000 | -3.911 |